Here is a relaxed LiCr4Hg2O8 crystal from the Alexandria database. Energies are from PBE with a Hubbard U. Values from VASP.

Summary:
Crystal system ... cubic
ρ ... 6.4 g/cm³
Uncorrected energy ... -6.022 eV/atom
Spin magnetization ... 12.6 μB per formula unit
D(E_F) ... 0.270 states/eV/atom

```
&SYSTEM
  ibrav = 0, nat = 15, ntyp = 4
/
ATOMIC_SPECIES
Li 6.94 Li.upf
Cr 52.00 Cr.upf
Hg 200.59 Hg.upf
O 16.00 O.upf
CELL_PARAMETERS angstrom
0.000 4.587 4.587
4.587 0.000 4.587
4.587 4.587 0.000
ATOMIC_POSITIONS crystal
Li 0.000 0.000 0.000
Cr 0.400 0.867 0.867
Cr 0.867 0.400 0.867
Cr 0.867 0.867 0.400
Cr 0.867 0.867 0.867
Hg 0.250 0.250 0.250
Hg 0.500 0.500 0.500
O 0.054 0.649 0.649
O 0.106 0.106 0.106
O 0.106 0.106 0.681
O 0.106 0.681 0.106
O 0.649 0.054 0.649
O 0.649 0.649 0.054
O 0.649 0.649 0.649
O 0.681 0.106 0.106
```